Model 1:
{"formula": "HgPdSO", "functional": "PBE", "state": "relaxed", "rho_g_cm3": 7.83, "spacegroup": "P2_12_12_1, No. 19", "crystal_system": "orthorhombic", "lattice_angstrom": [[6.3015, 0.0000, 0.0000], [0.0000, 6.4433, 0.0000], [0.0000, 0.0000, 7.4162]], "species": ["Hg", "Hg", "Hg", "Hg", "Pd", "Pd", "Pd", "Pd", "S", "S", "S", "S", "O", "O", "O", "O"], "fractional_positions": [[0.0463, 0.1892, 0.1955], [0.4537, 0.8108, 0.6955], [0.5463, 0.3108, 0.8045], [0.9537, 0.6892, 0.3045], [0.9997, 0.0626, 0.7511], [0.0003, 0.5626, 0.7489], [0.4997, 0.4374, 0.2489], [0.5003, 0.9374, 0.2511], [0.2292, 0.3108, 0.6272], [0.2708, 0.6892, 0.1272], [0.7292, 0.1892, 0.3728], [0.7708, 0.8108, 0.8728], [0.1291, 0.8135, 0.6140], [0.3709, 0.1865, 0.1140], [0.6291, 0.6865, 0.3860], [0.8709, 0.3135, 0.8860]]}

---

Model 2:
{"formula": "HgPdSO", "functional": "PBE", "state": "relaxed", "rho_g_cm3": 8.60, "spacegroup": "P4/nmm, No. 129", "crystal_system": "tetragonal", "lattice_angstrom": [[3.6778, 0.0000, 0.0000], [0.0000, 3.6778, 0.0000], [0.0000, 0.0000, 10.1374]], "species": ["Hg", "Hg", "Pd", "Pd", "S", "S", "O", "O"], "fractional_positions": [[0.2500, 0.2500, 0.1311], [0.7500, 0.7500, 0.8689], [0.2500, 0.2500, 0.6225], [0.7500, 0.7500, 0.3775], [0.2500, 0.2500, 0.3751], [0.7500, 0.7500, 0.6249], [0.2500, 0.7500, 0.0000], [0.7500, 0.2500, 0.0000]]}

---

Stability summary: most stable model 1, least stable model 2.